Crystalline Li2ZnAu8 at its relaxed geometry. Source: Alexandria, functional PBE.

Cell: 4.413 6.727 7.582 Å, 116.37 106.92 90.00°
Element x y z (fractional)
Li (0.196, 0.698, 0.393)
Li (0.804, 0.302, 0.607)
Zn (0.500, 0.000, 0.000)
Au (0.643, 0.859, 0.286)
Au (0.356, 0.573, 0.712)
Au (0.167, 0.167, 0.335)
Au (0.000, 0.289, 0.001)
Au (0.833, 0.833, 0.665)
Au (0.644, 0.427, 0.288)
Au (0.357, 0.141, 0.714)
Au (0.000, 0.711, 0.999)

Computed properties:
The density of states at the Fermi level comes out at 2.7 states/eV per cell. As for the formation energy from the elements: -0.249 eV per atom. Its magnetization is 0.00 μB/cell. The calculation puts the total energy at -3.097 eV/atom.

---

Crystalline SrCo2Mo at its relaxed geometry. Source: Alexandria, functional PBE.

Cell: 7.097 7.097 5.935 Å, 53.28 53.28 90.00°
Element x y z (fractional)
Sr (0.500, 0.500, 0.000)
Sr (0.250, 0.750, 0.500)
Mo (0.000, 0.000, 0.000)
Mo (0.750, 0.250, 0.500)
Co (0.702, 0.125, 0.250)
Co (0.048, 0.625, 0.250)
Co (0.375, 0.298, 0.750)
Co (0.875, 0.952, 0.750)

Computed properties:
The density of states at the Fermi level comes out at 3.8 states/eV per cell. As for the formation energy from the elements: 0.839 eV per atom. Its magnetization is 0.00 μB/cell. The calculation puts the total energy at -5.843 eV/atom.

---

Crystalline Cu4SeSBr2 at its relaxed geometry. Source: Alexandria, functional PBE.

Cell: 6.593 6.905 7.543 Å, 90.00 90.00 90.00°
Element x y z (fractional)
Cu (0.339, 0.143, 0.000)
Cu (0.839, 0.857, 0.500)
Cu (0.359, 0.127, 0.500)
Cu (0.859, 0.873, 0.000)
Cu (0.391, 0.686, 0.738)
Cu (0.891, 0.314, 0.238)
Cu (0.891, 0.314, 0.762)
Cu (0.391, 0.686, 0.262)
Se (0.005, 0.160, 0.500)
Se (0.505, 0.840, 0.000)
S (0.506, 0.839, 0.500)
S (0.006, 0.161, 0.000)
Br (0.505, 0.337, 0.250)
Br (0.505, 0.337, 0.750)
Br (0.005, 0.663, 0.750)
Br (0.005, 0.663, 0.250)

Computed properties:
The calculation puts the uncorrected formation energy at -219 meV per atom. The density of states at the Fermi level comes out at 14.0 states/eV per cell. Its magnetization is 0.00 μB/cell. The calculation puts the total energy at -3.637 eV/atom.

---

Crystalline Rb3NpU2S6 at its relaxed geometry. Source: Alexandria, functional PBE.

Cell: 7.068 7.068 8.084 Å, 98.38 98.38 120.00°
Each line ends with the local moment (μB).
Element x y z (fractional)
Rb (0.166, 0.834, 0.500)  0.01
Rb (0.834, 0.166, 0.500)  0.01
Rb (0.500, 0.500, 0.500)  0.01
Np (0.000, 0.000, 0.000)  4.01
U (0.333, 0.667, 0.000)  2.59
U (0.667, 0.333, 0.000)  2.59
S (0.936, 0.600, 0.807)  -0.07
S (0.728, 0.728, 0.193)  -0.07
S (0.064, 0.400, 0.193)  -0.07
S (0.600, 0.936, 0.807)  -0.07
S (0.272, 0.272, 0.807)  -0.07
S (0.400, 0.064, 0.193)  -0.07

Computed properties:
The calculation puts the uncorrected formation energy at -1362 meV per atom. The density of states at the Fermi level comes out at 20.4 states/eV per cell. Its magnetization is 10.00 μB/cell. The calculation puts the total energy at -6.628 eV/atom.

---

Crystalline Ag3RhW at its relaxed geometry. Source: Alexandria, functional PBE.

Cell: 4.933 4.933 4.933 Å, 90.00 90.00 90.00°
Each line ends with the local moment (μB).
Element x y z (fractional)
Rh (0.000, 0.000, 0.000)  0.79
Ag (0.000, 0.500, 0.000)  0.06
Ag (0.000, 0.000, 0.500)  0.04
Ag (0.500, 0.000, 0.000)  0.03
W (0.500, 0.500, 0.500)  3.07

Computed properties:
The density of states at the Fermi level comes out at 5.0 states/eV per cell. As for the formation energy from the elements: 1.947 eV per atom. Its magnetization is 5.00 μB/cell. The calculation puts the total energy at -3.825 eV/atom.

---

Crystalline Ca2SiHg at its relaxed geometry. Source: Alexandria, functional PBE.

Cell: 5.244 5.244 5.244 Å, 60.00 60.00 60.00°
Element x y z (fractional)
Ca (0.000, 0.000, 0.000)
Ca (0.250, 0.250, 0.250)
Hg (0.500, 0.500, 0.500)
Si (0.750, 0.750, 0.750)

Computed properties:
The calculation puts the uncorrected formation energy at -17 meV per atom. The density of states at the Fermi level comes out at 3.1 states/eV per cell. Its magnetization is 0.00 μB/cell. The calculation puts the total energy at -2.449 eV/atom.